# 1
Material: In5Te
Method: DFT, GGA-PBE
State: relaxed

abc: 6.4731 6.4731 7.8072
angles: 117.57 117.57 37.97
Fractional positions:
In: 0.0000 0.0000 0.0000
In: 0.0477 0.0477 0.6315
In: 0.3230 0.3230 0.6550
In: 0.3923 0.3923 0.2865
In: 0.7251 0.7251 0.9495
Te: 0.6574 0.6574 0.3099

Computed properties:
Energy relative to the elements, uncorrected   -0.0393 eV per atom
Size of the total moment   0.00 Bohr magnetons per cell
ΔE to the lowest computed polymorph   0 kJ/mol of formula units


# 2
Material: Ti2Cu2Te
Method: DFT, GGA-PBE
State: relaxed

abc: 6.6060 6.6060 3.7702
angles: 90.00 90.00 90.00
Fractional positions:
Ti: 0.1645 0.3355 0.0000
Ti: 0.3355 0.8355 0.0000
Ti: 0.6645 0.1645 0.0000
Ti: 0.8355 0.6645 0.0000
Cu: 0.1254 0.6254 0.5000
Cu: 0.3746 0.1254 0.5000
Cu: 0.6254 0.8746 0.5000
Cu: 0.8746 0.3746 0.5000
Te: 0.0000 0.0000 0.5000
Te: 0.5000 0.5000 0.5000

Computed properties:
Energy relative to the elements, uncorrected   -0.0362 eV per atom
Size of the total moment   0.00 Bohr magnetons per cell
ΔE to the lowest computed polymorph   0 kJ/mol of formula units


# 3
Material: HgTePd6
Method: DFT, GGA-PBE
State: relaxed

abc: 4.0726 4.0726 8.0965
angles: 90.00 90.00 90.00
Fractional positions:
Hg: 0.0000 0.0000 0.0000
Te: 0.0000 0.0000 0.5000
Pd: 0.0000 0.5000 0.2543
Pd: 0.0000 0.5000 0.7457
Pd: 0.5000 0.0000 0.2543
Pd: 0.5000 0.0000 0.7457
Pd: 0.5000 0.5000 0.0000
Pd: 0.5000 0.5000 0.5000

Computed properties:
Energy relative to the elements, uncorrected   -0.1859 eV per atom
Size of the total moment   0.00 Bohr magnetons per cell
ΔE to the lowest computed polymorph   0 kJ/mol of formula units


# 4
Material: Pu2In5Pd3
Method: DFT, GGA-PBE
State: relaxed

abc: 13.5922 13.5922 7.3137
angles: 90.00 90.00 160.70
Fractional positions:
Pu: 0.0219 0.9781 0.5000
Pu: 0.3261 0.6739 0.4117
Pu: 0.6739 0.3261 0.9117
Pu: 0.9781 0.0219 0.0000
In: 0.0994 0.9006 0.1218
In: 0.2070 0.7930 0.6099
In: 0.2092 0.7909 0.1993
In: 0.3750 0.6250 0.9682
In: 0.4475 0.5525 0.3264
In: 0.5525 0.4475 0.8264
In: 0.6250 0.3750 0.4682
In: 0.7909 0.2092 0.6993
In: 0.7930 0.2070 0.1099
In: 0.9006 0.0994 0.6218
Pd: 0.1093 0.8907 0.7329
Pd: 0.2725 0.7275 0.9018
Pd: 0.4537 0.5463 0.7148
Pd: 0.5463 0.4537 0.2148
Pd: 0.7275 0.2725 0.4018
Pd: 0.8907 0.1093 0.2329

Computed properties:
Size of the total moment   21.99 Bohr magnetons per cell
Calculated formation energy   -0.42 eV/atom


# 5
Material: Be4IrRh
Method: DFT, GGA-PBE
State: relaxed

abc: 2.7660 3.8316 6.3794
angles: 90.00 90.00 90.00
Fractional positions:
Be: 0.0000 0.0000 0.2023
Be: 0.0000 0.0000 0.7977
Be: 0.5000 0.5000 0.2962
Be: 0.5000 0.5000 0.7038
Ir: 0.0000 0.5000 0.0000
Rh: 0.5000 0.0000 0.5000

Computed properties:
Size of the total moment   0.00 Bohr magnetons per cell
Calculated formation energy   -0.17 eV/atom
ΔE to the lowest computed polymorph   166 kJ/mol of formula units


# 6
Material: CaMgTe
Method: DFT, GGA-PBE
State: relaxed

abc: 9.5818 9.5818 9.5818
angles: 31.71 31.71 31.71
Fractional positions:
Ca: 0.0949 0.0949 0.0949
Ca: 0.9051 0.9051 0.9051
Mg: 0.3220 0.3220 0.3220
Mg: 0.6780 0.6780 0.6780
Te: 0.2170 0.2170 0.2170
Te: 0.7830 0.7830 0.7830

Computed properties:
Energy relative to the elements, uncorrected   -0.7337 eV per atom
Size of the total moment   0.00 Bohr magnetons per cell
ΔE to the lowest computed polymorph   0 kJ/mol of formula units


# 7
Material: Li6TlSn2
Method: DFT, GGA-PBE
State: relaxed

abc: 8.3127 8.3127 3.0926
angles: 100.43 100.43 57.00
Fractional positions:
Li: 0.1483 0.5108 0.8336
Li: 0.1651 0.8349 0.0000
Li: 0.4892 0.8517 0.1664
Li: 0.5108 0.1483 0.8336
Li: 0.8349 0.1651 0.0000
Li: 0.8517 0.4892 0.1664
Tl: 0.5000 0.5000 0.5000
Sn: 0.1522 0.1522 0.6456
Sn: 0.8478 0.8478 0.3544

Computed properties:
Size of the total moment   0.00 Bohr magnetons per cell
Calculated formation energy   -0.30 eV/atom
ΔE to the lowest computed polymorph   3 kJ/mol of formula units


# 8
Material: FeAg2
Method: DFT, GGA-PBE
State: relaxed

abc: 4.5239 4.5239 2.7325
angles: 90.00 90.00 120.00
Fractional positions:
Fe: 0.0000 0.0000 0.0000
Ag: 0.3333 0.6667 0.3125
Ag: 0.6667 0.3333 0.6875

Computed properties:
Size of the total moment   2.96 Bohr magnetons per cell
Calculated formation energy   0.40 eV/atom


| no. | total DFT energy (no corrections) (Ry/atom) |
| --- | --- |
| 1 | -0.2091 |
| 2 | -0.4014 |
| 3 | -0.3316 |
| 4 | -0.4570 |
| 5 | -0.3938 |
| 6 | -0.2190 |
| 7 | -0.2009 |
| 8 | -0.3177 |